Mn2FeSe | PBEsol | relaxed

Unit cell a=2.6853 b=2.6853 c=22.6548 alpha=90.00 beta=90.00 gamma=120.00
With the nearest neighbours (Å) after each atom.
Space group R-3m (No. 166, hexagonal axes)
Inequivalent atoms, fractional coordinates:
Mn 0.0000 0.0000 0.2499 x6  3 Se 2.44, 3 Fe 2.44, 6 Mn 2.69
Fe 0.0000 0.0000 0.0000 x3  6 Mn 2.44, 6 Fe 2.69
Se 0.0000 0.0000 0.5000 x3  6 Mn 2.44, 6 Se 2.69

Output
Spin magnetization (μB/atom): 0.0689
Formation energy without anion corrections (eV per atom): 0.3750
D(E_F) (states/eV per cell): 12.85